[1]
{"formula": "BaFeAs2", "functional": "GGA-PBE", "state": "relaxed", "formation_energy_ev_per_atom": -0.31, "e_tot_ev_per_atom": -5.236, "space_group": "Immm", "m_tot_mub_per_fu": 2.345, "mass_density_g_cm3": 5.5, "cell": [[5.479, -0.035, -0.034], [0.067, 5.479, 0.034], [-1.571, -3.946, 3.462]], "species": ["As", "As", "Ba", "Fe"], "frac_coords": [[0.914, 0.914, 0.000], [0.586, 0.586, 0.000], [0.250, 0.750, 0.500], [0.750, 0.250, 0.500]]}



[2]
{"formula": "Ba2FeAs", "functional": "GGA-PBE", "state": "relaxed", "formation_energy_ev_per_atom": 0.32, "e_tot_ev_per_atom": -3.920, "space_group": "F-43m", "m_tot_mub_per_fu": 2.647, "mass_density_g_cm3": 5.8, "cell": [[-4.413, -3.234, -0.322], [0.584, -5.325, -1.161], [-0.925, -3.767, 3.872]], "species": ["As", "Ba", "Ba", "Fe"], "frac_coords": [[0.500, 0.500, 0.500], [0.000, 0.000, 0.000], [0.250, 0.250, 0.250], [0.750, 0.750, 0.750]]}



[3]
{"formula": "BaFeAs2", "functional": "GGA-PBE", "state": "relaxed", "formation_energy_ev_per_atom": 0.30, "e_tot_ev_per_atom": -4.617, "space_group": "I-4m2", "m_tot_mub_per_fu": 3.361, "mass_density_g_cm3": 5.9, "cell": [[5.848, 0.243, 0.000], [2.270, 5.395, 0.000], [-4.059, -2.819, 3.136]], "species": ["As", "As", "Ba", "Fe"], "frac_coords": [[0.000, 0.000, 0.000], [0.250, 0.750, 0.500], [0.500, 0.500, 0.000], [0.750, 0.250, 0.500]]}